# PBE-GGA Nd6Tl2In, optimized geometry
data_Nd6Tl2In
_chemical_formula_sum 'Nd12 Tl4 In2'
_cell_length_a 5.338
_cell_length_b 7.573
_cell_length_c 16.020
_cell_angle_alpha 90.00
_cell_angle_beta 90.00
_cell_angle_gamma 90.00
_space_group_name_H-M_alt 'I m m m'
_space_group_IT_number 71
_space_group_name_Hall '-I 2 2'
loop_
_atom_site_label
_atom_site_type_symbol
_atom_site_fract_x
_atom_site_fract_y
_atom_site_fract_z
Nd1 Nd 0.000 0.249 0.000
Nd2 Nd 0.000 0.251 0.334
Tl1 Tl 0.000 0.500 0.166
In1 In 0.000 0.500 0.500
# V: 36.0 Å³/atom
# ΔE to the lowest computed polymorph: 213.3 meV/atom
# E_form: -0.08 eV per atom